{"formula": "Ca2H2S2O7", "functional": "meta-GGA SCAN", "state": "PBEsol geometry", "total_energy_ev_per_atom": -8.94, "space_group": "Pbcn, No. 60", "magnetic_moment_mub_per_atom": 0.00, "lattice": [[-1.3546, -5.0650, -3.4844], [3.3240, -5.8621, 7.2290], [-9.8206, -0.3082, 4.2657]], "species": ["Ca", "Ca", "Ca", "Ca", "Ca", "Ca", "Ca", "Ca", "H", "H", "H", "H", "H", "H", "H", "H", "S", "S", "S", "S", "S", "S", "S", "S", "O", "O", "O", "O", "O", "O", "O", "O", "O", "O", "O", "O", "O", "O", "O", "O", "O", "O", "O", "O", "O", "O", "O", "O", "O", "O", "O", "O"], "fractional_positions": [[0.4741, 0.6282, 0.1430], [0.0259, 0.1282, 0.3570], [0.0259, 0.3718, 0.6430], [0.4741, 0.8718, 0.8570], [0.5259, 0.3718, 0.8570], [0.9741, 0.8718, 0.6430], [0.9741, 0.6282, 0.3570], [0.5259, 0.1282, 0.1430], [0.6351, 0.6916, 0.5490], [0.8649, 0.1916, 0.9510], [0.8649, 0.3084, 0.0490], [0.6351, 0.8084, 0.4510], [0.3649, 0.3084, 0.4510], [0.1351, 0.8084, 0.0490], [0.1351, 0.6916, 0.9510], [0.3649, 0.1916, 0.5490], [0.8375, 0.8798, 0.1319], [0.6625, 0.3798, 0.3681], [0.6625, 0.1202, 0.6319], [0.8375, 0.6202, 0.8681], [0.1625, 0.1202, 0.8681], [0.3375, 0.6202, 0.6319], [0.3375, 0.8798, 0.3681], [0.1625, 0.3798, 0.1319], [0.6430, 0.9039, 0.0482], [0.8570, 0.4039, 0.4518], [0.8570, 0.0961, 0.5482], [0.6430, 0.5961, 0.9518], [0.3570, 0.0961, 0.9518], [0.1430, 0.5961, 0.5482], [0.1430, 0.9039, 0.4518], [0.3570, 0.4039, 0.0482], [0.7750, 0.7583, 0.2126], [0.7250, 0.2583, 0.2874], [0.7250, 0.2417, 0.7126], [0.7750, 0.7417, 0.7874], [0.2250, 0.2417, 0.7874], [0.2750, 0.7417, 0.7126], [0.2750, 0.7583, 0.2874], [0.2250, 0.2583, 0.2126], [0.8320, 0.0032, 0.2174], [0.6680, 0.5032, 0.2826], [0.6680, 0.9968, 0.7174], [0.8320, 0.4968, 0.7826], [0.1680, 0.9968, 0.7826], [0.3320, 0.4968, 0.7174], [0.3320, 0.0032, 0.2826], [0.1680, 0.5032, 0.2174], [0.7349, 0.7500, 0.5000], [0.7651, 0.2500, 0.0000], [0.2651, 0.2500, 0.5000], [0.2349, 0.7500, 0.0000]]}